Record 1
The following is a DFT calculation (SCAN) of As2C at its PBEsol-relaxed geometry.

```
data_As2C
_chemical_formula_sum 'As4 C2'
_cell_length_a 2.955
_cell_length_b 2.955
_cell_length_c 19.566
_cell_angle_alpha 90.00
_cell_angle_beta 90.00
_cell_angle_gamma 120.00
_symmetry_space_group_name_H-M 'P 1'
_symmetry_Int_Tables_number 1
loop_
_symmetry_equiv_pos_as_xyz
'x,y,z'
loop_
_atom_site_label
_atom_site_type_symbol
_atom_site_fract_x
_atom_site_fract_y
_atom_site_fract_z
_atom_site_occupancy
As1 As 0.333 0.667 0.069 1
As2 As 0.333 0.667 0.431 1
As3 As 0.667 0.333 0.569 1
As4 As 0.667 0.333 0.931 1
C1 C 0.000 0.000 0.000 1
C2 C 0.000 0.000 0.500 1
```

Properties
M_tot: 0.00 μB per formula unit
Polymorph energy (0 for the lowest one): 0 meV/atom
E_form: 1.20 eV per atom

---

Record 2
The following is a DFT calculation (SCAN) of AsC at its PBEsol-relaxed geometry.

```
data_AsC
_chemical_formula_sum 'As1 C1'
_cell_length_a 2.891
_cell_length_b 2.891
_cell_length_c 3.089
_cell_angle_alpha 90.00
_cell_angle_beta 90.00
_cell_angle_gamma 90.00
_symmetry_space_group_name_H-M 'P 1'
_symmetry_Int_Tables_number 1
loop_
_symmetry_equiv_pos_as_xyz
'x,y,z'
loop_
_atom_site_label
_atom_site_type_symbol
_atom_site_fract_x
_atom_site_fract_y
_atom_site_fract_z
_atom_site_occupancy
As1 As 0.000 0.000 0.000 1
C1 C 0.500 0.500 0.000 1
```

Properties
M_tot: 0.00 μB per formula unit
Polymorph energy (0 for the lowest one): 1257 meV/atom
E_form: 1.78 eV per atom

---

Record 3
The following is a DFT calculation (SCAN) of AsC at its PBEsol-relaxed geometry.

```
data_AsC
_chemical_formula_sum 'As2 C2'
_cell_length_a 3.157
_cell_length_b 4.416
_cell_length_c 3.300
_cell_angle_alpha 90.00
_cell_angle_beta 90.00
_cell_angle_gamma 90.00
_symmetry_space_group_name_H-M 'P 1'
_symmetry_Int_Tables_number 1
loop_
_symmetry_equiv_pos_as_xyz
'x,y,z'
loop_
_atom_site_label
_atom_site_type_symbol
_atom_site_fract_x
_atom_site_fract_y
_atom_site_fract_z
_atom_site_occupancy
As1 As 0.250 0.250 0.207 1
As2 As 0.750 0.750 0.793 1
C1 C 0.250 0.750 0.186 1
C2 C 0.750 0.250 0.814 1
```

Properties
M_tot: 0.00 μB per formula unit
Polymorph energy (0 for the lowest one): 929 meV/atom
E_form: 1.45 eV per atom